Li2HfCoSi | Alexandria via LeMat-Bulk | PBE | relaxed; ρ = 6.073 Mg/m³; space-group type = P4/mmm (123); energy relative to the elements, uncorrected = 0.30 eV per atom
1.0
4.243 0.000 0.000
0.000 4.243 0.000
0.000 0.000 4.244
Li Hf Co Si
2 1 1 1
direct
0.000 0.500 0.000
0.500 0.000 0.000
0.000 0.000 0.500
0.500 0.500 0.500
0.500 0.500 0.000


Na5H2Se4 | Alexandria via LeMat-Bulk | PBE | relaxed; ρ = 2.583 Mg/m³; uncorrected energy = -3.141 eV per atom; space-group type = C2/m (12)
1.0
7.652 -2.495 0.000
7.652 2.495 0.000
-0.176 0.000 7.287
Na H Se
5 2 4
direct
0.000 0.000 0.000
0.339 0.339 0.961
0.364 0.364 0.512
0.636 0.636 0.488
0.661 0.661 0.039
0.112 0.112 0.288
0.888 0.888 0.712
0.208 0.208 0.255
0.488 0.488 0.218
0.512 0.512 0.782
0.792 0.792 0.745


YHo3Mg4 | Alexandria via LeMat-Bulk | PBE | relaxed; ρ = 5.221 Mg/m³; calculated formation energy = -84 meV/atom; space-group type = P4/mmm (123)
1.0
3.781 0.000 0.000
0.000 3.781 0.000
0.000 0.000 15.150
Y Ho Mg
1 3 4
direct
0.000 0.000 0.000
0.000 0.000 0.251
0.000 0.000 0.500
0.000 0.000 0.749
0.500 0.500 0.126
0.500 0.500 0.375
0.500 0.500 0.625
0.500 0.500 0.874


ScIn2Se4 | Alexandria via LeMat-Bulk | PBE | relaxed; ρ = 4.827 Mg/m³; polymorph energy (0 for the lowest one) = 0.0 meV per atom; space-group type = R-3m (166); energy relative to the elements, uncorrected = -0.86 eV per atom
1.0
2.052 1.185 13.926
-2.052 1.185 13.926
0.000 -2.369 13.926
Sc In Se
1 2 4
direct
0.000 0.000 0.000
0.235 0.235 0.235
0.765 0.765 0.765
0.128 0.128 0.128
0.299 0.299 0.299
0.701 0.701 0.701
0.872 0.872 0.872